(1)
# La3Tb4Tm5 (PBE, relaxed)
# DFT total energy ... -4.39 eV/atom
# Density of states at the Fermi level ... 19.61 states/eV per cell
# Energy of formation from the pure elements ... 0.25 eV/atom
# V ... 33.14 A^3/atom
# Polymorph energy (0 for the lowest one) ... 220 meV/atom
data_La3Tb4Tm5
_chemical_formula_sum 'La3 Tb4 Tm5'
_cell_length_a 5.961
_cell_length_b 8.519
_cell_length_c 9.655
_cell_angle_alpha 105.11
_cell_angle_beta 72.02
_cell_angle_gamma 69.52
_space_group_name_H-M_alt 'P 1'
_space_group_IT_number 1
loop_
_space_group_symop_operation_xyz
'x,y,z'
loop_
_atom_site_label
_atom_site_type_symbol
_atom_site_fract_x
_atom_site_fract_y
_atom_site_fract_z
La1 La 0.525 0.685 0.266
La2 La 0.000 0.500 0.500
La3 La 0.475 0.315 0.734
Tb1 Tb 0.860 0.223 0.057
Tb2 Tb 0.171 0.035 0.623
Tb3 Tb 0.829 0.965 0.377
Tb4 Tb 0.140 0.777 0.943
Tm1 Tm 0.624 0.948 0.805
Tm2 Tm 0.500 0.500 0.500
Tm3 Tm 0.216 0.454 0.113
Tm4 Tm 0.784 0.546 0.887
Tm5 Tm 0.376 0.052 0.195

***

(2)
# GaCu2Pd (PBE, relaxed)
# DFT total energy ... -4.12 eV/atom
# Density of states at the Fermi level ... 2.62 states/eV per cell
# Energy of formation from the pure elements ... -0.02 eV/atom
# V ... 14.76 A^3/atom
data_GaCu2Pd
_chemical_formula_sum 'Ga2 Cu4 Pd2'
_cell_length_a 6.859
_cell_length_b 6.859
_cell_length_c 5.461
_cell_angle_alpha 51.10
_cell_angle_beta 51.10
_cell_angle_gamma 90.00
_space_group_name_H-M_alt 'P 1'
_space_group_IT_number 1
loop_
_space_group_symop_operation_xyz
'x,y,z'
loop_
_atom_site_label
_atom_site_type_symbol
_atom_site_fract_x
_atom_site_fract_y
_atom_site_fract_z
Cu1 Cu 0.613 0.125 0.250
Cu2 Cu 0.137 0.625 0.250
Cu3 Cu 0.375 0.387 0.750
Cu4 Cu 0.875 0.863 0.750
Ga1 Ga 0.500 0.500 0.000
Ga2 Ga 0.250 0.750 0.500
Pd1 Pd 0.000 0.000 0.000
Pd2 Pd 0.750 0.250 0.500